Density functional theory data (GGA-PBE) for Tb2Ce3PaN6 after structural relaxation.

a b c (Å): 6.1005 6.1005 6.1539
angles (deg): 99.49 99.49 119.99
With the nearest neighbours (Å) after each atom.
Element x y z (fractional)
Tb 0.6665 0.3335 0.0000  6 N 2.49-2.50
Ce 0.1684 0.8316 0.5000  6 N 2.51-2.60
N 0.7610 0.7610 0.2387  1 Pa 2.39, 2 Tb 2.50, 3 Ce 2.52-2.61
N 0.2390 0.2390 0.7613  1 Pa 2.39, 2 Tb 2.50, 3 Ce 2.52-2.61
Ce 0.5000 0.5000 0.5000  6 N 2.51-2.61
N 0.9208 0.6019 0.7625  1 Pa 2.39, 2 Tb 2.49-2.50, 3 Ce 2.51-2.60
N 0.3981 0.0792 0.2375  1 Pa 2.39, 2 Tb 2.49-2.50, 3 Ce 2.51-2.60
N 0.6019 0.9208 0.7625  1 Pa 2.39, 2 Tb 2.49-2.50, 3 Ce 2.51-2.60
Tb 0.3335 0.6665 0.0000  6 N 2.49-2.50
N 0.0792 0.3981 0.2375  1 Pa 2.39, 2 Tb 2.49-2.50, 3 Ce 2.51-2.60
Ce 0.8316 0.1684 0.5000  6 N 2.51-2.60
Pa 0.0000 0.0000 0.0000  6 N 2.39

Computed properties:
total DFT energy (no corrections): -8.812 eV/atom
space group: C2/m, No. 12

Density functional theory data (GGA-PBE) for ErRuF6 after structural relaxation.

a b c (Å): 5.8592 5.0404 5.0404
angles (deg): 67.75 98.30 81.70
With the nearest neighbours (Å) after each atom.
Element x y z (fractional)
Ru 0.0000 0.0208 0.0208  6 F 2.01-2.06
F 0.7302 0.0165 0.7127  1 Ru 2.06, 1 Er 2.20
F 0.7302 0.3288 0.0250  1 Ru 2.06, 1 Er 2.20
F 0.8417 0.7438 0.2977  1 Ru 2.01, 1 Er 2.19
F 0.2698 0.0250 0.3288  1 Ru 2.06, 1 Er 2.20
Er 0.5000 0.0207 0.0207  6 F 2.19-2.20
F 0.1583 0.2977 0.7438  1 Ru 2.01, 1 Er 2.19
F 0.2698 0.7127 0.0165  1 Ru 2.06, 1 Er 2.20

Computed properties:
total DFT energy (no corrections): -5.758 eV/atom
space group: C2/m, No. 12

Density functional theory data (GGA-PBE) for CsRbBiTe2 after structural relaxation.

a b c (Å): 7.4962 7.3881 8.7532
angles (deg): 114.96 90.00 90.00
With the nearest neighbours (Å) after each atom.
Element x y z (fractional)
Te 0.2441 0.3433 0.6867  1 Te 2.96, 1 Bi 3.09
Te 0.7559 0.6567 0.3133  1 Te 2.96, 1 Bi 3.09
Te 0.7559 0.8433 0.6867  1 Te 2.96, 1 Bi 3.09
Rb 0.5000 0.2500 0.0000  4 Te 3.64, 2 Rb 3.69
Te 0.2441 0.1567 0.3133  1 Te 2.96, 1 Bi 3.09
Cs 0.2425 0.7500 0.5000  8 Te 3.94-4.12, 2 Bi 4.36
Bi 0.0000 0.0000 0.0000  2 Te 3.09
Cs 0.7575 0.2500 0.5000  8 Te 3.94-4.12, 2 Bi 4.36
Rb 0.5000 0.7500 0.0000  4 Te 3.64, 2 Rb 3.69
Bi 0.0000 0.5000 0.0000  2 Te 3.09

Computed properties:
total DFT energy (no corrections): -2.950 eV/atom
space group: Cmme, No. 67

Density functional theory data (GGA-PBE) for Sc2ZnGe2Ru5 after structural relaxation.

a b c (Å): 3.3424 9.7038 9.7038
angles (deg): 90.00 90.00 90.00
With the nearest neighbours (Å) after each atom.
Element x y z (fractional)
Ge 0.0000 0.6331 0.8669  6 Ru 2.44-2.48, 1 Sc 2.72
Ru 0.5000 0.5000 0.0000  4 Ge 2.48
Ru 0.5000 0.9395 0.1981  2 Ge 2.44, 2 Zn 2.61
Ge 0.0000 0.8669 0.3669  6 Ru 2.44-2.48, 1 Sc 2.72
Ru 0.5000 0.0605 0.8019  2 Ge 2.44, 2 Zn 2.61
Sc 0.0000 0.6685 0.1685  3 Ge 2.72-2.95, 2 Ru 2.85
Ru 0.5000 0.3019 0.5605  2 Ge 2.44, 2 Zn 2.61
Ru 0.5000 0.8019 0.9395  2 Ge 2.44, 2 Zn 2.61
Sc 0.0000 0.8315 0.6685  3 Ge 2.72-2.95, 2 Ru 2.85
Ru 0.5000 0.4395 0.3019  2 Ge 2.44, 2 Zn 2.61
Ru 0.5000 0.0000 0.5000  4 Ge 2.48
Zn 0.0000 0.0000 0.0000  8 Ru 2.61
Sc 0.0000 0.1685 0.3315  3 Ge 2.72-2.95, 2 Ru 2.85
Zn 0.0000 0.5000 0.5000  8 Ru 2.61
Sc 0.0000 0.3315 0.8315  3 Ge 2.72-2.95, 2 Ru 2.85
Ru 0.5000 0.6981 0.4395  2 Ge 2.44, 2 Zn 2.61
Ge 0.0000 0.1331 0.6331  6 Ru 2.44-2.48, 1 Sc 2.72
Ge 0.0000 0.3669 0.1331  6 Ru 2.44-2.48, 1 Sc 2.72
Ru 0.5000 0.5605 0.6981  2 Ge 2.44, 2 Zn 2.61
Ru 0.5000 0.1981 0.0605  2 Ge 2.44, 2 Zn 2.61

Computed properties:
total DFT energy (no corrections): -7.309 eV/atom
DFT formation energy: -0.354 eV per atom
space group: P4/mbm, No. 127